# PBE with a Hubbard U Tl2CrCdF6, optimized geometry
# Total magnetic moment, μB/atom: 0.400
# Final energy, eV/atom: -4.588
data_Tl2CrCdF6
_chemical_formula_sum 'Tl4 Cr2 Cd2 F12'
_symmetry_space_group_name_H-M 'I 4/m m m'
_symmetry_Int_Tables_number 139
_symmetry_space_group_name_Hall '-I 4 2'
_cell_length_a 6.2757
_cell_length_b 6.2757
_cell_length_c 8.6146
_cell_angle_alpha 90.00
_cell_angle_beta 90.00
_cell_angle_gamma 90.00
loop_
_atom_site_label
_atom_site_type_symbol
_atom_site_fract_x
_atom_site_fract_y
_atom_site_fract_z
Tl1 Tl 0.0000 0.5000 0.2500
Cr1 Cr 0.0000 0.0000 0.0000
Cd1 Cd 0.0000 0.0000 0.5000
F1 F 0.0000 0.0000 0.2339
F2 F 0.2467 0.2467 0.0000